A plane-wave DFT calculation with PBE was carried out for crystalline Ru2Pb at its relaxed geometry.

It has space group I4/mcm (No. 140), with a = 5.098 Å, b = 5.098 Å, c = 8.849 Å, α = 90.00°, β = 90.00° and γ = 90.00°. The inequivalent atoms are Ru at (0.173, 0.327, 0.000) and Pb at (0.000, 0.000, 0.250).

The calculation puts the total moment at 0.000 μB/atom. The calculation puts the formation energy at 0.640 eV per atom. The calculation puts the calculated volume at 19.16 Å³ per atom. The energy relative to the lowest polymorph listed for this composition is 0.229 eV per atom.

A plane-wave DFT calculation with PBE was carried out for crystalline Ce4Sm2Sb3N2 at its relaxed geometry.

It has space group I4/mmm (No. 139), with a = 4.684 Å, b = 4.684 Å, c = 26.250 Å, α = 90.00°, β = 90.00° and γ = 90.00°. The inequivalent atoms are Ce at (0.000, 0.500, 0.085), Sm at (0.000, 0.000, 0.196), Sb at (0.000, 0.000, 0.320), Sb at (0.000, 0.000, 0.500) and N at (0.000, 0.000, 0.105).

The calculation puts the total moment at 0.318 μB/atom. The total energy is -6.7726 eV/atom. The calculation puts the calculated volume at 26.18 Å³ per atom.